Entry 1:
Al3Cr: optimized geometry, PBE.

* total magnetic moment: 5.18 Bohr magnetons per cell
* formation enthalpy at 0 K: -0.11 eV/f.u.
* crystal system: cubic
* DOS(E_F): 0.64 states/eV/atom

a b c (Å): 4.9720 4.9720 4.9720
angles (deg): 90.00 90.00 90.00
Sites, in units of the cell vectors:
Al 0.0000 0.2500 0.5000
Al 0.0000 0.7500 0.5000
Al 0.2500 0.5000 0.0000
Al 0.5000 0.0000 0.2500
Al 0.5000 0.0000 0.7500
Al 0.7500 0.5000 0.0000
Cr 0.0000 0.0000 0.0000
Cr 0.5000 0.5000 0.5000

***

Entry 2:
K3HgB2S6: optimized geometry, PBE.

* total magnetic moment: 0.00 Bohr magnetons per cell
* energy relative to the elements, uncorrected: -615 meV/atom
* crystal system: trigonal
* DOS(E_F): 0.44 states/eV/atom

a b c (Å): 6.6963 6.6963 8.8800
angles (deg): 90.00 90.00 120.00
Sites, in units of the cell vectors:
K 0.0000 0.0000 0.0000
K 0.3333 0.6667 0.6661
K 0.6667 0.3333 0.3339
Hg 0.0000 0.0000 0.5000
B 0.3333 0.6667 0.2920
B 0.6667 0.3333 0.7080
S 0.1770 0.3539 0.2825
S 0.1770 0.8230 0.2825
S 0.3539 0.1770 0.7175
S 0.6461 0.8230 0.2825
S 0.8230 0.1770 0.7175
S 0.8230 0.6461 0.7175

***

Entry 3:
ScBeAgPd2: optimized geometry, PBE.

* total magnetic moment: 0.00 Bohr magnetons per cell
* formation enthalpy at 0 K: 5.29 eV/f.u.
* crystal system: tetragonal
* DOS(E_F): 0.99 states/eV/atom

a b c (Å): 4.9484 4.9484 4.8066
angles (deg): 90.00 90.00 90.00
Sites, in units of the cell vectors:
Sc 0.0000 0.0000 0.0000
Be 0.5000 0.5000 0.0000
Ag 0.0000 0.0000 0.5000
Pd 0.0000 0.5000 0.5000
Pd 0.5000 0.0000 0.5000

***

Entry 4:
ErSc2PaSe4: optimized geometry, PBE.

* total magnetic moment: 0.04 Bohr magnetons per cell
* energy relative to the elements, uncorrected: -1499 meV/atom
* crystal system: monoclinic
* DOS(E_F): 0.88 states/eV/atom

a b c (Å): 6.8564 3.9100 6.9303
angles (deg): 90.00 108.73 90.00
Sites, in units of the cell vectors:
Er 0.0000 0.0000 0.0000
Sc 0.0000 0.5000 0.5000
Sc 0.5000 0.0000 0.5000
Pa 0.5000 0.5000 0.0000
Se 0.2404 0.0000 0.7319
Se 0.2519 0.5000 0.2647
Se 0.7481 0.5000 0.7353
Se 0.7596 0.0000 0.2681

***

Entry 5:
RbTaP2: optimized geometry, PBE.

* total magnetic moment: 0.00 Bohr magnetons per cell
* formation enthalpy at 0 K: -1.20 eV/f.u.
* crystal system: tetragonal
* DOS(E_F): 0.00 states/eV/atom
* distance to the lowest polymorph of the same formula: 0.000 eV/atom

a b c (Å): 7.1408 7.1408 10.5373
angles (deg): 90.00 90.00 90.00
Sites, in units of the cell vectors:
Rb 0.0000 0.0000 0.0000
Rb 0.0000 0.5000 0.2500
Rb 0.5000 0.0000 0.7500
Rb 0.5000 0.5000 0.5000
Ta 0.0000 0.0000 0.5000
Ta 0.0000 0.5000 0.7500
Ta 0.5000 0.0000 0.2500
Ta 0.5000 0.5000 0.0000
P 0.1154 0.2500 0.6250
P 0.2500 0.6154 0.8750
P 0.2500 0.8846 0.3750
P 0.3846 0.2500 0.1250
P 0.6154 0.7500 0.1250
P 0.7500 0.1154 0.3750
P 0.7500 0.3846 0.8750
P 0.8846 0.7500 0.6250

***

Entry 6:
CrP2W: optimized geometry, PBE.

* total magnetic moment: 2.11 Bohr magnetons per cell
* formation enthalpy at 0 K: 1.56 eV/f.u.
* crystal system: cubic
* DOS(E_F): 0.50 states/eV/atom
* distance to the lowest polymorph of the same formula: 0.838 eV/atom

a b c (Å): 5.9744 5.9744 5.9744
angles (deg): 90.00 90.00 90.00
Sites, in units of the cell vectors:
Cr 0.0000 0.0000 0.0000
Cr 0.0000 0.5000 0.5000
Cr 0.5000 0.0000 0.5000
Cr 0.5000 0.5000 0.0000
P 0.0000 0.0000 0.5000
P 0.0000 0.5000 0.0000
P 0.2500 0.2500 0.2500
P 0.2500 0.7500 0.7500
P 0.5000 0.0000 0.0000
P 0.5000 0.5000 0.5000
P 0.7500 0.2500 0.7500
P 0.7500 0.7500 0.2500
W 0.2500 0.2500 0.7500
W 0.2500 0.7500 0.2500
W 0.7500 0.2500 0.2500
W 0.7500 0.7500 0.7500

***

Entry 7:
VBTe2I: optimized geometry, PBE.

* total magnetic moment: 0.18 Bohr magnetons per cell
* energy relative to the elements, uncorrected: 1136 meV/atom
* crystal system: tetragonal
* DOS(E_F): 1.10 states/eV/atom
* distance to the lowest polymorph of the same formula: 0.098 eV/atom

a b c (Å): 4.8474 4.8474 4.9180
angles (deg): 90.00 90.00 90.00
Sites, in units of the cell vectors:
V 0.0000 0.0000 0.0000
B 0.5000 0.5000 0.5000
Te 0.0000 0.5000 0.5000
Te 0.5000 0.0000 0.5000
I 0.5000 0.5000 0.0000

***

Entry 8:
Sr2ScSi: optimized geometry, PBE.

* total magnetic moment: 1.34 Bohr magnetons per cell
* energy relative to the elements, uncorrected: 108 meV/atom
* crystal system: tetragonal
* DOS(E_F): 1.08 states/eV/atom

a b c (Å): 3.6392 3.6392 9.7122
angles (deg): 90.00 90.00 90.00
Sites, in units of the cell vectors:
Sr 0.0000 0.0000 0.2033
Sr 0.0000 0.0000 0.7967
Sc 0.5000 0.5000 0.5000
Si 0.5000 0.5000 0.0000

***

Going through the records in order, we get DFT total energy values of -5.240 -4.091 -3.600 -6.581 -6.211 -7.960 -3.589 -3.671 eV/atom.